No. 1
An optimized crystal structure of Tb8Nd2Tm3. Source: Alexandria, functional PBE-GGA.

Lattice parameters (Å, degrees): 5.354 7.670 10.888 108.72 90.11 89.94
Sites, in units of the cell vectors:
1 Tb 0.005 0.744 0.372
2 Tb 0.995 0.256 0.628
3 Tb 0.999 0.210 0.252
4 Tb 0.001 0.790 0.748
5 Tb 0.500 0.535 0.828
6 Tb 0.496 0.088 0.739
7 Tb 0.504 0.912 0.261
8 Tb 0.500 0.465 0.172
9 Nd 0.494 0.301 0.481
10 Nd 0.506 0.699 0.519
11 Tm 0.500 0.000 0.000
12 Tm 0.998 0.266 0.943
13 Tm 0.002 0.734 0.057

Calculated values
energy above the lowest structure with this stoichiometry = 0.0 kJ/mol of formula units
DFT formation energy = 207 meV/atom

=====

No. 2
An optimized crystal structure of CaAu2Cl8. Source: Alexandria, functional PBE-GGA.

Lattice parameters (Å, degrees): 6.944 6.944 7.881 116.14 116.14 90.00
Sites, in units of the cell vectors:
1 Ca 0.500 0.500 0.000
2 Au 0.750 0.250 0.500
3 Au 0.250 0.750 0.500
4 Cl 0.788 0.290 0.236
5 Cl 0.053 0.551 0.764
6 Cl 0.710 0.212 0.764
7 Cl 0.212 0.053 0.764
8 Cl 0.449 0.947 0.236
9 Cl 0.947 0.788 0.236
10 Cl 0.290 0.449 0.236
11 Cl 0.551 0.710 0.764

Calculated values
formation energy without anion corrections = -816 meV/atom

=====

No. 3
An optimized crystal structure of Tm2Mn3Re. Source: Alexandria, functional PBE-GGA.

Lattice parameters (Å, degrees): 5.334 5.334 5.061 89.97 121.84 120.00
Each line ends with the local moment (μB).
Sites, in units of the cell vectors:
1 Tm 0.746 0.373 0.119  -0.27
2 Tm 0.254 0.627 0.881  -0.27
3 Mn 0.500 0.500 0.500  1.60
4 Mn 0.000 0.000 0.500  1.60
5 Mn 0.500 0.000 0.500  1.62
6 Re 0.000 0.000 0.000  -0.48

Calculated values
DFT formation energy = -58 meV/atom

=====

No. 4
An optimized crystal structure of Na3SiO3. Source: Alexandria, functional PBE-GGA.

Lattice parameters (Å, degrees): 4.842 7.333 6.287 90.12 90.00 90.00
Sites, in units of the cell vectors:
1 Na 0.750 0.510 0.825
2 Na 0.750 0.991 0.825
3 Na 0.750 0.250 0.345
4 Na 0.250 0.490 0.175
5 Na 0.250 0.009 0.175
6 Na 0.250 0.750 0.655
7 Si 0.250 0.250 0.678
8 Si 0.750 0.750 0.322
9 O 0.250 0.442 0.805
10 O 0.250 0.059 0.806
11 O 0.250 0.250 0.421
12 O 0.750 0.558 0.195
13 O 0.750 0.941 0.194
14 O 0.750 0.750 0.579

Calculated values
formation energy without anion corrections = -1807 meV/atom
energy above the lowest structure with this stoichiometry = 40.7 kJ/mol of formula units

=====

No. 5
An optimized crystal structure of GeBIO2. Source: Alexandria, functional PBE-GGA.

Lattice parameters (Å, degrees): 3.613 3.613 7.450 90.00 90.00 90.00
Each line ends with the local moment (μB).
Sites, in units of the cell vectors:
1 I 0.000 0.000 0.500  0.02
2 Ge 0.000 0.000 0.000  0.00
3 B 0.500 0.500 0.500  0.17
4 O 0.000 0.500 0.000  0.01
5 O 0.500 0.000 0.000  0.01

Calculated values
formation energy without anion corrections = 251 meV/atom
energy above the lowest structure with this stoichiometry = 0.0 kJ/mol of formula units

=====

No. 6
An optimized crystal structure of Rb4TmSb3O12. Source: Alexandria, functional PBE-GGA.

Lattice parameters (Å, degrees): 7.231 7.231 7.231 109.47 109.47 109.47
Each line ends with the local moment (μB).
Sites, in units of the cell vectors:
1 Rb 0.500 0.500 0.500  0.00
2 Rb 0.000 0.000 0.500  0.00
3 Rb 0.500 0.000 0.000  0.00
4 Rb 0.000 0.500 0.000  0.00
5 Tm 0.000 0.000 0.000  -0.02
6 Sb 0.500 0.000 0.500  -0.01
7 Sb 0.500 0.500 0.000  -0.01
8 Sb 0.000 0.500 0.500  -0.01
9 O 0.250 0.500 0.750  0.15
10 O 0.733 0.000 0.733  0.10
11 O 0.267 0.000 0.267  0.10
12 O 0.750 0.500 0.250  0.15
13 O 0.733 0.733 0.000  0.10
14 O 0.267 0.267 0.000  0.10
15 O 0.750 0.250 0.500  0.15
16 O 0.250 0.750 0.500  0.15
17 O 0.500 0.250 0.750  0.15
18 O 0.000 0.733 0.733  0.10
19 O 0.500 0.750 0.250  0.15
20 O 0.000 0.267 0.267  0.10

Calculated values
formation energy without anion corrections = -1617 meV/atom

=====

No. 7
An optimized crystal structure of Li2ZrPd8. Source: Alexandria, functional PBE-GGA.

Lattice parameters (Å, degrees): 4.094 6.750 7.357 117.31 106.16 90.00
Sites, in units of the cell vectors:
1 Li 0.197 0.697 0.394
2 Li 0.803 0.303 0.606
3 Zr 0.500 0.000 0.000
4 Pd 0.660 0.875 0.320
5 Pd 0.340 0.555 0.680
6 Pd 0.153 0.153 0.306
7 Pd 0.000 0.301 0.000
8 Pd 0.847 0.847 0.694
9 Pd 0.660 0.445 0.320
10 Pd 0.340 0.125 0.680
11 Pd 0.000 0.699 0.000

Calculated values
energy above the lowest structure with this stoichiometry = 71.4 kJ/mol of formula units
DFT formation energy = -395 meV/atom

=====

No. 8
An optimized crystal structure of FeCuOs. Source: Alexandria, functional PBE-GGA.

Lattice parameters (Å, degrees): 2.651 2.651 6.362 90.00 90.00 120.00
Each line ends with the local moment (μB).
Sites, in units of the cell vectors:
1 Cu 0.000 0.000 0.009  0.03
2 Fe 0.667 0.333 0.336  2.10
3 Os 0.333 0.667 0.655  -0.18

Calculated values
energy above the lowest structure with this stoichiometry = 0.0 kJ/mol of formula units
DFT formation energy = 216 meV/atom

=====

No. 9
An optimized crystal structure of Nd4Sm3Tm3. Source: Alexandria, functional PBE-GGA.

Lattice parameters (Å, degrees): 3.825 9.383 9.383 89.78 90.00 90.00
Sites, in units of the cell vectors:
1 Nd 0.000 0.630 0.370
2 Nd 0.000 0.372 0.628
3 Nd 0.000 0.868 0.871
4 Nd 0.000 0.129 0.132
5 Sm 0.000 0.504 0.002
6 Sm 0.000 0.998 0.496
7 Sm 0.500 0.168 0.832
8 Tm 0.500 0.831 0.169
9 Tm 0.500 0.332 0.331
10 Tm 0.500 0.669 0.668

Calculated values
DFT formation energy = 95 meV/atom

=====

No. 10
An optimized crystal structure of TbPm2Cd. Source: Alexandria, functional PBE-GGA.

Lattice parameters (Å, degrees): 3.641 3.641 11.198 80.64 80.64 60.00
Sites, in units of the cell vectors:
1 Tb 0.500 0.500 0.500
2 Pm 0.078 0.078 0.765
3 Pm 0.255 0.255 0.235
4 Cd 0.667 0.667 0.000

Calculated values
energy above the lowest structure with this stoichiometry = 34.1 kJ/mol of formula units
DFT formation energy = -53 meV/atom

=====

No. 11
An optimized crystal structure of La2Zn4Ga3Cu. Source: Alexandria, functional PBE-GGA.

Lattice parameters (Å, degrees): 4.333 4.333 10.473 90.00 90.00 90.00
Sites, in units of the cell vectors:
1 La 0.500 0.000 0.252
2 La 0.000 0.500 0.748
3 Zn 0.500 0.500 0.000
4 Zn 0.000 0.000 0.000
5 Zn 0.500 0.000 0.624
6 Zn 0.000 0.500 0.376
7 Ga 0.000 0.000 0.500
8 Ga 0.500 0.000 0.863
9 Ga 0.000 0.500 0.137
10 Cu 0.500 0.500 0.500

Calculated values
DFT formation energy = -441 meV/atom

=====

No. 12
An optimized crystal structure of NaSi3BO8. Source: Alexandria, functional PBE-GGA.

Lattice parameters (Å, degrees): 7.295 7.534 6.892 79.08 106.83 65.05
Sites, in units of the cell vectors:
1 Na 0.736 0.251 0.867
2 Na 0.264 0.749 0.133
3 Si 0.183 0.197 0.790
4 Si 0.817 0.803 0.210
5 Si 0.193 0.602 0.678
6 Si 0.807 0.398 0.322
7 Si 0.445 0.824 0.644
8 Si 0.555 0.176 0.356
9 B 0.824 0.850 0.778
10 B 0.176 0.150 0.222
11 O 0.856 0.870 0.995
12 O 0.144 0.130 0.005
13 O 0.421 0.615 0.723
14 O 0.579 0.385 0.277
15 O 0.052 0.742 0.788
16 O 0.948 0.258 0.212
17 O 0.344 0.983 0.766
18 O 0.656 0.017 0.234
19 O 0.710 0.735 0.726
20 O 0.290 0.265 0.274
21 O 0.290 0.350 0.791
22 O 0.710 0.650 0.209
23 O 0.695 0.070 0.618
24 O 0.305 0.930 0.382
25 O 0.938 0.325 0.585
26 O 0.062 0.675 0.415

Calculated values
formation energy without anion corrections = -2643 meV/atom